Record 1
This record from Alexandria via LeMat-Bulk describes a geometry-optimized AgPb8 structure. The functional is PBE.

abc: 7.849 7.849 7.849
angles: 95.43 95.43 144.18
Fractional positions:
Pb  0.661  0.339  0.000
Ag  0.000  0.000  0.000
Pb  0.339  0.339  0.678
Pb  0.000  0.673  0.673
Pb  0.673  0.000  0.673
Pb  0.661  0.661  0.322
Pb  0.327  0.000  0.327
Pb  0.339  0.661  0.000
Pb  0.000  0.327  0.327

Results
space-group type: I4/mmm, No. 139
DOS at the Fermi energy: 0.48 states/eV per atom


Record 2
This record from Alexandria via LeMat-Bulk describes a geometry-optimized AgPb6 structure. The functional is PBE.

abc: 7.411 7.411 7.411
angles: 109.47 109.47 109.47
Fractional positions:
Pb  0.750  0.250  0.500
Pb  0.500  0.750  0.250
Pb  0.250  0.500  0.750
Pb  0.500  0.250  0.750
Pb  0.250  0.750  0.500
Pb  0.750  0.500  0.250
Ag  0.000  0.000  0.000

Results
space-group type: Im-3m, No. 229
DOS at the Fermi energy: 0.59 states/eV per atom


Record 3
This record from Alexandria via LeMat-Bulk describes a geometry-optimized Ag4Pb structure. The functional is PBE.

abc: 5.314 5.314 5.314
angles: 90.00 90.00 90.00
Fractional positions:
Ag  0.500  0.500  0.000
Ag  0.000  0.000  0.000
Pb  0.500  0.500  0.500
Ag  0.500  0.000  0.500
Ag  0.000  0.500  0.500

Results
space-group type: Pm-3m, No. 221
energy relative to the lowest polymorph listed for this composition: 701.2 meV per atom
DOS at the Fermi energy: 0.45 states/eV per atom


Record 4
This record from Alexandria via LeMat-Bulk describes a geometry-optimized Ag2Pb3 structure. The functional is PBE.

abc: 4.948 4.948 6.490
angles: 90.00 90.00 120.00
Fractional positions:
Pb  0.000  0.000  0.000
Pb  0.333  0.667  0.343
Pb  0.667  0.333  0.657
Ag  0.667  0.333  0.177
Ag  0.333  0.667  0.823

Results
space-group type: P-3m1, No. 164
energy relative to the lowest polymorph listed for this composition: 0.0 meV per atom
DOS at the Fermi energy: 0.44 states/eV per atom


Record 5
This record from Alexandria via LeMat-Bulk describes a geometry-optimized Ag2Pd9Pb structure. The functional is PBE.

abc: 4.049 4.049 12.009
angles: 90.00 90.00 90.00
Fractional positions:
Pd  0.000  0.500  0.500
Pb  0.000  0.000  0.000
Pd  0.500  0.500  0.336
Pd  0.000  0.500  0.172
Pd  0.500  0.000  0.828
Ag  0.000  0.000  0.337
Pd  0.500  0.500  0.000
Pd  0.500  0.000  0.500
Ag  0.000  0.000  0.663
Pd  0.500  0.500  0.664
Pd  0.500  0.000  0.172
Pd  0.000  0.500  0.828

Results
space-group type: P4/mmm, No. 123
DOS at the Fermi energy: 1.26 states/eV per atom


Record 6
This record from Alexandria via LeMat-Bulk describes a geometry-optimized Ag4PdPb structure. The functional is PBE.

abc: 5.538 5.538 5.538
angles: 60.00 60.00 60.00
Fractional positions:
Ag  0.624  0.624  0.624
Ag  0.127  0.624  0.624
Pd  0.250  0.250  0.250
Ag  0.624  0.624  0.127
Ag  0.624  0.127  0.624
Pb  0.000  0.000  0.000

Results
space-group type: F-43m, No. 216
DOS at the Fermi energy: 0.64 states/eV per atom


Record 7
This record from Alexandria via LeMat-Bulk describes a geometry-optimized AgPd4Pb7 structure. The functional is PBE.

abc: 5.564 8.196 7.557
angles: 69.97 68.40 70.16
Fractional positions:
Pd  0.300  0.340  0.060
Pb  0.710  0.340  0.240
Ag  0.000  0.000  0.000
Pb  0.216  0.111  0.457
Pd  0.476  0.696  0.352
Pb  0.938  0.382  0.743
Pd  0.700  0.660  0.940
Pb  0.062  0.618  0.257
Pb  0.290  0.660  0.760
Pb  0.784  0.889  0.543
Pd  0.524  0.304  0.648
Pb  0.500  0.000  0.000

Results
space-group type: C2/m, No. 12
DOS at the Fermi energy: 0.40 states/eV per atom


Record 8
This record from Alexandria via LeMat-Bulk describes a geometry-optimized Ag2Pd4Pb structure. The functional is PBE.

abc: 4.547 4.547 7.830
angles: 73.12 73.12 60.00
Fractional positions:
Pd  0.622  0.622  0.135
Ag  0.246  0.246  0.262
Pd  0.126  0.126  0.623
Pd  0.874  0.874  0.377
Pb  0.000  0.000  0.000
Ag  0.754  0.754  0.738
Pd  0.378  0.378  0.865

Results
space-group type: R-3m, No. 166
energy relative to the lowest polymorph listed for this composition: 58.8 meV per atom
DOS at the Fermi energy: 0.22 states/eV per atom


Record 9
This record from Alexandria via LeMat-Bulk describes a geometry-optimized AgPd12Pb6 structure. The functional is PBE.

abc: 7.623 7.623 7.623
angles: 107.22 107.22 107.22
Fractional positions:
Pb  0.093  0.465  0.214
Ag  0.000  0.000  0.000
Pb  0.465  0.214  0.093
Pd  0.482  0.601  0.181
Pd  0.819  0.518  0.399
Pd  0.518  0.399  0.819
Pb  0.786  0.907  0.535
Pd  0.164  0.884  0.725
Pd  0.275  0.836  0.116
Pb  0.535  0.786  0.907
Pd  0.116  0.275  0.836
Pd  0.181  0.482  0.601
Pb  0.907  0.535  0.786
Pd  0.884  0.725  0.164
Pd  0.725  0.164  0.884
Pd  0.836  0.116  0.275
Pb  0.214  0.093  0.465
Pd  0.601  0.181  0.482
Pd  0.399  0.819  0.518

Results
space-group type: R-3, No. 148
DOS at the Fermi energy: 0.41 states/eV per atom


Record 10
This record from Alexandria via LeMat-Bulk describes a geometry-optimized Ag3Pd6Pb structure. The functional is PBE.

abc: 7.110 6.994 7.275
angles: 90.00 98.90 90.00
Fractional positions:
Ag  0.039  0.625  0.366
Pd  0.722  0.244  0.867
Pd  0.778  0.744  0.633
Pd  0.278  0.756  0.133
Ag  0.000  0.000  0.500
Ag  0.500  0.500  0.000
Ag  0.961  0.375  0.634
Pd  0.866  0.631  0.991
Pd  0.366  0.869  0.491
Pd  0.222  0.256  0.367
Pd  0.329  0.203  0.741
Pd  0.171  0.703  0.759
Pb  0.000  0.000  0.000
Pd  0.134  0.369  0.009
Ag  0.539  0.875  0.866
Pd  0.671  0.797  0.259
Ag  0.461  0.125  0.134
Pd  0.634  0.131  0.509
Pd  0.829  0.297  0.241
Pb  0.500  0.500  0.500

Results
space-group type: P2_1/c, No. 14
energy relative to the lowest polymorph listed for this composition: 94.3 meV per atom
DOS at the Fermi energy: 0.51 states/eV per atom


Record 11
This record from Alexandria via LeMat-Bulk describes a geometry-optimized AgPd2Pb structure. The functional is PBE.

abc: 6.168 6.168 6.168
angles: 55.67 151.77 133.07
Fractional positions:
Ag  0.000  0.000  0.000
Pb  0.000  0.500  0.500
Pd  0.000  0.249  0.249
Pd  0.000  0.751  0.751

Results
space-group type: Immm, No. 71
DOS at the Fermi energy: 0.70 states/eV per atom


Record 12
This record from Alexandria via LeMat-Bulk describes a geometry-optimized AgPdPb4 structure. The functional is PBE.

abc: 6.135 7.874 8.123
angles: 115.54 108.00 98.15
Fractional positions:
Pb  0.985  0.745  0.126
Pb  0.015  0.255  0.874
Pd  0.391  0.641  0.282
Pb  0.664  0.044  0.376
Pb  0.212  0.332  0.376
Pd  0.609  0.359  0.718
Pb  0.788  0.668  0.624
Pb  0.641  0.381  0.126
Ag  0.255  0.005  0.009
Pb  0.359  0.619  0.874
Pb  0.336  0.956  0.624
Ag  0.745  0.995  0.991

Results
space-group type: C2/c, No. 15
DOS at the Fermi energy: 0.49 states/eV per atom


Record 13
This record from Alexandria via LeMat-Bulk describes a geometry-optimized Ag3Pd6Pb structure. The functional is PBE.

abc: 4.159 8.869 9.224
angles: 93.62 90.00 90.00
Fractional positions:
Pd  0.750  0.752  0.503
Pd  0.750  0.546  0.901
Pd  0.250  0.162  0.189
Ag  0.750  0.251  0.997
Pd  0.250  0.047  0.906
Pb  0.750  0.069  0.374
Pd  0.750  0.953  0.094
Pd  0.750  0.838  0.811
Ag  0.250  0.554  0.401
Ag  0.750  0.446  0.599
Ag  0.750  0.657  0.200
Pd  0.250  0.454  0.099
Pd  0.750  0.140  0.693
Pd  0.750  0.363  0.294
Pd  0.250  0.248  0.497
Pd  0.250  0.637  0.706
Pd  0.250  0.860  0.307
Ag  0.250  0.343  0.800
Ag  0.250  0.749  0.003
Pb  0.250  0.931  0.626

Results
space-group type: P2_1/m, No. 11
energy relative to the lowest polymorph listed for this composition: 0.0 meV per atom
DOS at the Fermi energy: 0.52 states/eV per atom


Record 14
This record from Alexandria via LeMat-Bulk describes a geometry-optimized Ag3Pd4Pb structure. The functional is PBE.

abc: 4.834 6.039 9.484
angles: 90.00 90.00 90.00
Fractional positions:
Ag  0.603  0.000  0.750
Ag  0.000  0.000  0.500
Pd  0.500  0.247  0.500
Pd  0.896  0.752  0.250
Ag  0.397  0.000  0.250
Pd  0.500  0.753  0.500
Pb  0.000  0.500  0.500
Pb  0.000  0.500  0.000
Pd  0.500  0.753  0.000
Pd  0.104  0.752  0.750
Ag  0.000  0.000  0.000
Ag  0.589  0.500  0.750
Pd  0.896  0.248  0.250
Pd  0.500  0.247  0.000
Pd  0.104  0.248  0.750
Ag  0.411  0.500  0.250

Results
space-group type: Pmma, No. 51
energy relative to the lowest polymorph listed for this composition: 0.0 meV per atom
DOS at the Fermi energy: 0.29 states/eV per atom


Record 15
This record from Alexandria via LeMat-Bulk describes a geometry-optimized Ag2Pd7Pb2 structure. The functional is PBE.

abc: 5.108 6.587 6.587
angles: 91.18 107.28 107.28
Fractional positions:
Pd  0.830  0.588  0.072
Pb  0.500  0.763  0.237
Ag  0.451  0.747  0.747
Pd  0.170  0.412  0.928
Pd  0.830  0.072  0.588
Pd  0.170  0.928  0.412
Pb  0.500  0.237  0.763
Pd  0.839  0.600  0.600
Pd  0.000  0.000  0.000
Ag  0.549  0.253  0.253
Pd  0.161  0.400  0.400

Results
space-group type: C2/m, No. 12
DOS at the Fermi energy: 0.43 states/eV per atom


Record 16
This record from Alexandria via LeMat-Bulk describes a geometry-optimized AgPd15Pb4 structure. The functional is PBE.

abc: 4.096 4.096 20.355
angles: 90.00 90.00 90.00
Fractional positions:
Pb  0.000  0.000  0.805
Pd  0.500  0.000  0.500
Pd  0.500  0.500  0.601
Pd  0.000  0.500  0.500
Pd  0.500  0.500  0.399
Pd  0.500  0.000  0.904
Pd  0.500  0.500  0.198
Pd  0.500  0.500  0.000
Pb  0.000  0.000  0.602
Pd  0.500  0.000  0.096
Pd  0.000  0.500  0.297
Pd  0.000  0.500  0.904
Pd  0.000  0.500  0.096
Pd  0.500  0.000  0.703
Pb  0.000  0.000  0.195
Pd  0.000  0.500  0.703
Pd  0.500  0.000  0.297
Ag  0.000  0.000  0.000
Pd  0.500  0.500  0.802
Pb  0.000  0.000  0.398

Results
space-group type: P4/mmm, No. 123
DOS at the Fermi energy: 0.82 states/eV per atom


Record 17
This record from Alexandria via LeMat-Bulk describes a geometry-optimized AgPd7Pb4 structure. The functional is PBE.

abc: 5.113 8.956 6.130
angles: 80.95 65.35 73.41
Fractional positions:
Pd  0.794  0.912  0.499
Ag  0.000  0.000  0.000
Pb  0.753  0.666  0.827
Pb  0.247  0.334  0.173
Pd  0.923  0.324  0.829
Pd  0.206  0.088  0.501
Pb  0.407  0.780  0.406
Pd  0.500  0.000  0.000
Pd  0.077  0.676  0.171
Pb  0.593  0.220  0.594
Pd  0.365  0.522  0.748
Pd  0.635  0.478  0.252

Results
space-group type: C2/m, No. 12
DOS at the Fermi energy: 0.40 states/eV per atom


Record 18
This record from Alexandria via LeMat-Bulk describes a geometry-optimized AgPd2Pb structure. The functional is PBE.

abc: 7.458 7.458 6.001
angles: 51.58 51.58 90.00
Fractional positions:
Ag  0.500  0.500  0.000
Pd  0.626  0.125  0.250
Pb  0.750  0.250  0.500
Pd  0.375  0.374  0.750
Pd  0.875  0.876  0.750
Ag  0.250  0.750  0.500
Pb  0.000  0.000  0.000
Pd  0.124  0.625  0.250

Results
space-group type: I-42d, No. 122
DOS at the Fermi energy: 0.37 states/eV per atom


Record 19
This record from Alexandria via LeMat-Bulk describes a geometry-optimized Ag2Pd8Pb structure. The functional is PBE.

abc: 3.977 8.272 7.447
angles: 123.74 105.49 90.00
Fractional positions:
Ag  0.150  0.650  0.300
Ag  0.850  0.350  0.700
Pd  0.332  0.079  0.663
Pd  0.177  0.177  0.355
Pd  0.332  0.585  0.663
Pb  0.500  0.000  0.000
Pd  0.000  0.243  0.000
Pd  0.668  0.921  0.337
Pd  0.823  0.823  0.645
Pd  0.000  0.757  0.000
Pd  0.668  0.415  0.337

Results
space-group type: Immm, No. 71
energy relative to the lowest polymorph listed for this composition: 0.0 meV per atom
DOS at the Fermi energy: 0.84 states/eV per atom


Record 20
This record from Alexandria via LeMat-Bulk describes a geometry-optimized Ag2Pd4Pb structure. The functional is PBE.

abc: 5.573 5.573 5.573
angles: 116.23 106.20 106.20
Fractional positions:
Pb  0.000  0.000  0.000
Pd  0.000  0.500  0.000
Ag  0.500  0.500  0.000
Pd  0.000  0.000  0.500
Pd  0.500  0.000  0.000
Pd  0.500  0.500  0.500
Ag  0.500  0.000  0.500

Results
space-group type: I4/mmm, No. 139
energy relative to the lowest polymorph listed for this composition: 0.0 meV per atom
DOS at the Fermi energy: 0.30 states/eV per atom


Record 21
This record from Alexandria via LeMat-Bulk describes a geometry-optimized AgPd12Pb3 structure. The functional is PBE.

abc: 4.093 4.093 16.249
angles: 90.00 90.00 90.00
Fractional positions:
Pd  0.500  0.500  0.752
Pb  0.000  0.000  0.500
Pb  0.000  0.000  0.244
Pd  0.500  0.500  0.500
Pd  0.500  0.000  0.120
Ag  0.000  0.000  0.000
Pd  0.000  0.500  0.880
Pd  0.000  0.500  0.120
Pd  0.500  0.000  0.880
Pd  0.500  0.000  0.373
Pb  0.000  0.000  0.756
Pd  0.500  0.500  0.000
Pd  0.000  0.500  0.373
Pd  0.500  0.500  0.248
Pd  0.500  0.000  0.627
Pd  0.000  0.500  0.627

Results
space-group type: P4/mmm, No. 123
DOS at the Fermi energy: 0.95 states/eV per atom


no.,ΔE_f (eV per formula unit)
1,0.37
2,4.16
3,3.92
4,0.53
5,-0.98
6,0.78
7,-0.68
8,0.46
9,-3.55
10,-0.07
11,0.84
12,-0.20
13,-1.01
14,-0.99
15,-0.57
16,-4.34
17,-1.06
18,0.19
19,0.05
20,0.04
21,-3.19